DFT (PBE) results for an optimized crystal structure of Ho2TmSbN4.

Cell and atoms, written as extended XYZ:
```
8
Lattice="5.990 0.000 0.000 0.000 3.452 0.000 -1.984 0.000 5.667" Properties=species:S:1:pos:R:3 pbc="T T T"
Ho 0.000 0.000 0.000
Ho -0.992 1.726 2.834
Tm 2.003 0.000 2.834
Sb 2.995 1.726 0.000
N -0.033 0.000 4.171
N 0.964 1.726 1.460
N 3.041 1.726 4.207
N 4.038 0.000 1.496
```

Symmetry: No. 10
Formation energy (no corrections), eV per atom: -1.103
VASP energy, eV/cell: -59.88
V, Å³/atom: 14.65

DFT (PBE) results for an optimized crystal structure of HoUSbN2.

Cell and atoms, written as extended XYZ:
```
5
Lattice="-1.950 1.950 6.125 1.950 -1.950 6.125 1.950 1.950 -6.125" Properties=species:S:1:pos:R:3 pbc="T T T"
Ho 0.000 0.000 0.000
U 0.000 0.000 3.984
Sb 0.000 0.000 8.162
N 1.950 0.000 4.905
N 0.000 1.950 4.905
```

Symmetry: No. 107
Formation energy (no corrections), eV per atom: -1.335
VASP energy, eV/cell: -43.31
V, Å³/atom: 18.64

DFT (PBE) results for an optimized crystal structure of HoUSb2N.

Cell and atoms, written as extended XYZ:
```
10
Lattice="4.073 0.000 0.000 0.000 4.073 0.000 0.000 0.000 13.965" Properties=species:S:1:pos:R:3 pbc="T T T"
Ho 1.018 1.018 1.241
Ho 3.055 3.055 12.724
U 1.018 1.018 8.047
U 3.055 3.055 5.919
Sb 1.018 1.018 4.336
Sb 1.018 1.018 11.990
Sb 3.055 3.055 1.975
Sb 3.055 3.055 9.630
N 1.018 3.055 6.983
N 3.055 1.018 6.983
```

Symmetry: No. 129
Formation energy (no corrections), eV per atom: -0.849
VASP energy, eV/cell: -73.36
V, Å³/atom: 23.17

DFT (PBE) results for an optimized crystal structure of Y2HoSbN4.

Cell and atoms, written as extended XYZ:
```
8
Lattice="6.038 0.000 0.000 0.000 3.480 0.000 -1.999 0.000 5.706" Properties=species:S:1:pos:R:3 pbc="T T T"
Y 0.000 0.000 0.000
Y -1.000 1.740 2.853
Ho 2.019 0.000 2.853
Sb 3.019 1.740 0.000
N -0.028 0.000 4.209
N 0.975 1.740 1.465
N 3.063 1.740 4.242
N 4.067 0.000 1.497
```

Symmetry: No. 10
Formation energy (no corrections), eV per atom: -1.062
VASP energy, eV/cell: -63.42
V, Å³/atom: 14.99

DFT (PBE) results for an optimized crystal structure of HoSc3N4.

Cell and atoms, written as extended XYZ:
```
16
Lattice="5.649 0.000 0.000 0.000 6.536 0.000 -1.882 0.000 5.328" Properties=species:S:1:pos:R:3 pbc="T T T"
Ho -0.470 0.833 1.332
Ho -1.411 5.703 3.996
Sc -1.411 2.469 3.996
Sc -0.470 4.067 1.332
Sc 1.413 0.849 3.996
Sc 2.354 2.466 1.332
Sc 1.413 4.070 3.996
Sc 2.354 5.687 1.332
N 0.477 2.488 2.699
N 1.418 4.048 0.035
N -0.407 0.862 5.317
N 0.534 5.674 2.653
N 3.233 0.862 2.675
N 4.174 5.674 0.011
N 2.349 2.488 5.294
N 3.290 4.048 2.629
```

Symmetry: No. 13
Formation energy (no corrections), eV per atom: -1.837
VASP energy, eV/cell: -143.13
V, Å³/atom: 12.30

DFT (PBE) results for an optimized crystal structure of Ho2ScN3.

Cell and atoms, written as extended XYZ:
```
6
Lattice="-1.683 2.391 5.054 1.683 -2.391 5.054 1.683 2.391 -5.054" Properties=species:S:1:pos:R:3 pbc="T T T"
Ho 0.000 0.000 1.673
Ho 0.000 0.000 8.436
Sc 0.000 0.000 5.054
N 1.683 0.000 0.000
N 1.683 0.000 3.448
N 0.000 2.391 1.606
```

Symmetry: No. 71
Formation energy (no corrections), eV per atom: -1.759
VASP energy, eV/cell: -51.02
V, Å³/atom: 13.56

DFT (PBE) results for an optimized crystal structure of Ho4ScN5.

Cell and atoms, written as extended XYZ:
```
10
Lattice="-3.800 3.800 2.418 3.800 -3.800 2.418 3.800 3.800 -2.418" Properties=species:S:1:pos:R:3 pbc="T T T"
Ho 2.266 0.767 0.000
Ho 3.033 -1.534 2.418
Ho 0.767 5.333 0.000
Ho 1.534 3.033 2.418
Sc 0.000 0.000 2.470
N 4.539 1.575 -0.030
N 1.575 3.060 -0.030
N 2.225 0.740 2.388
N -0.740 2.225 2.388
N 0.000 0.000 4.724
```

Symmetry: No. 79
Formation energy (no corrections), eV per atom: -1.749
VASP energy, eV/cell: -83.76
V, Å³/atom: 13.97

DFT (PBE) results for an optimized crystal structure of HoScN.

Cell and atoms, written as extended XYZ:
```
3
Lattice="0.000 2.877 2.877 2.877 0.000 2.877 2.877 2.877 0.000" Properties=species:S:1:pos:R:3 pbc="T T T"
Ho 0.000 0.000 0.000
Sc 2.877 2.877 2.877
N 1.438 1.438 1.438
```

ΔE to the lowest computed polymorph, kJ/mol of formula units: 193
Symmetry: No. 216
Formation energy (no corrections), eV per atom: -0.447
VASP energy, eV/cell: -20.58
V, Å³/atom: 15.87